Record 1
Density functional theory data (PBE) for an optimized crystal structure of Os3Pt3W2.

a b c (Å): 5.544 4.450 5.570
angles (deg): 90.00 119.44 90.00
Positions (direct):
Os 0.170 0.000 0.332
Pt 0.665 0.000 0.836
Pt 0.171 0.000 0.838
W 0.666 0.000 0.342
W 0.331 0.500 0.655
Os 0.330 0.500 0.169
Pt 0.833 0.500 0.166
Os 0.835 0.500 0.663

theoretical density = 21.14 Mg/m³
ΔH_f (0 K) = -0.143 eV per atom
symmetry = Pm, No. 6


Record 2
Density functional theory data (PBE) for an optimized crystal structure of PbAu.

a b c (Å): 4.545 4.545 4.545
angles (deg): 60.00 60.00 60.00
Positions (direct):
Pb 0.250 0.250 0.250
Au 0.000 0.000 0.000

raw total energy = -3.245 eV/atom
theoretical density = 10.11 Mg/m³
symmetry = F-43m, No. 216


Record 3
Density functional theory data (PBE) for an optimized crystal structure of PrCuSnSeS2.

a b c (Å): 6.855 6.855 10.992
angles (deg): 90.00 90.00 146.03
Positions (direct):
Se 0.912 0.088 0.250
S 0.639 0.361 0.082
Pr 0.000 0.000 0.500
Pr 0.000 0.000 0.000
Sn 0.228 0.772 0.250
Sn 0.772 0.228 0.750
Cu 0.532 0.468 0.250
S 0.361 0.639 0.582
S 0.361 0.639 0.918
Se 0.088 0.912 0.750
S 0.639 0.361 0.418
Cu 0.468 0.532 0.750

raw total energy = -5.020 eV/atom
theoretical density = 5.36 Mg/m³
symmetry = Cmcm, No. 63